Entry 1:
Compound: HfAgSb2
Source: the Alexandria database
Functional: PBE
Structure: optimized geometry

Results
E_tot: -5.21 eV per atom
Space group: Fm-3m

Unit cell a=5.0680 b=5.0680 c=5.0680 alpha=60.00 beta=60.00 gamma=60.00
Fractional coordinates of all 4 atoms:
Hf1 0.5000 0.5000 0.5000
Sb1 0.7500 0.7500 0.7500
Sb2 0.2500 0.2500 0.2500
Ag1 0.0000 0.0000 0.0000


Entry 2:
Compound: HfAgSb2
Source: the Alexandria database
Functional: PBE
Structure: optimized geometry

Results
E_tot: -5.33 eV per atom
Space group: R-3m

Unit cell a=3.4275 b=3.4275 c=10.0013 alpha=80.13 beta=80.13 gamma=60.00
Fractional coordinates of all 4 atoms:
Ag1 0.0000 0.0000 0.0000
Hf1 0.5000 0.5000 0.5000
Sb1 0.0924 0.0924 0.7228
Sb2 0.9076 0.9076 0.2772


Entry 3:
Compound: HfSc2AgSb
Source: the Alexandria database
Functional: PBE
Structure: optimized geometry

Results
E_tot: -5.08 eV per atom
Space group: P4/mmm

Unit cell a=5.2313 b=5.0944 c=5.2313 alpha=90.00 beta=90.00 gamma=90.00
Fractional coordinates of all 5 atoms:
Sc1 0.5000 0.0000 0.0000
Sc2 0.0000 0.0000 0.5000
Hf1 0.0000 0.0000 0.0000
Sb1 0.5000 0.5000 0.5000
Ag1 0.0000 0.5000 0.0000


Entry 4:
Compound: HfAgSb2Te
Source: the Alexandria database
Functional: PBE
Structure: optimized geometry

Results
Space group: P4/mmm
Polymorph energy (0 for the lowest one): 0.00 eV per formula unit

Unit cell a=5.5266 b=5.5266 c=5.5033 alpha=90.00 beta=90.00 gamma=90.00
Fractional coordinates of all 5 atoms:
Hf1 0.0000 0.0000 0.0000
Te1 0.0000 0.0000 0.5000
Sb1 0.5000 0.0000 0.0000
Sb2 0.0000 0.5000 0.0000
Ag1 0.5000 0.5000 0.5000


Entry 5:
Compound: HfSc3Ag
Source: the Alexandria database
Functional: PBE
Structure: optimized geometry

Results
Space group: Pm-3m
Polymorph energy (0 for the lowest one): 1.08 eV per formula unit
Energy relative to the elements: 0.827 eV/atom

Unit cell a=5.1827 b=5.1827 c=5.1827 alpha=90.00 beta=90.00 gamma=90.00
Fractional coordinates of all 5 atoms:
Sc1 0.0000 0.0000 0.5000
Sc2 0.0000 0.5000 0.0000
Sc3 0.5000 0.0000 0.0000
Hf1 0.0000 0.0000 0.0000
Ag1 0.5000 0.5000 0.5000


Entry 6:
Compound: HfSc3Ag
Source: the Alexandria database
Functional: PBE
Structure: optimized geometry

Results
Space group: Pm-3m
Polymorph energy (0 for the lowest one): 0.00 eV per formula unit
Energy relative to the elements: 0.612 eV/atom

Unit cell a=5.1091 b=5.1091 c=5.1091 alpha=90.00 beta=90.00 gamma=90.00
Fractional coordinates of all 5 atoms:
Sc1 0.0000 0.0000 0.5000
Sc2 0.5000 0.0000 0.0000
Sc3 0.0000 0.5000 0.0000
Ag1 0.0000 0.0000 0.0000
Hf1 0.5000 0.5000 0.5000


Entry 7:
Compound: Hf2ScAg2
Source: the Alexandria database
Functional: PBE
Structure: optimized geometry

Results
Space group: P4/mbm
Polymorph energy (0 for the lowest one): 0.00 eV per formula unit
Energy relative to the elements: 0.084 eV/atom

Unit cell a=7.8865 b=7.8865 c=3.3808 alpha=90.00 beta=90.00 gamma=90.00
Fractional coordinates of all 10 atoms:
Ag1 0.3738 0.8738 0.0000
Ag2 0.8738 0.6262 0.0000
Ag3 0.6262 0.1262 0.0000
Ag4 0.1262 0.3738 0.0000
Hf1 0.1717 0.6717 0.5000
Hf2 0.3283 0.1717 0.5000
Hf3 0.8283 0.3283 0.5000
Hf4 0.6717 0.8283 0.5000
Sc1 0.5000 0.5000 0.0000
Sc2 0.0000 0.0000 0.0000


Entry 8:
Compound: Hf2Sc3Ag2
Source: the Alexandria database
Functional: PBE
Structure: optimized geometry

Results
Space group: Cmmm
Energy relative to the elements: 0.025 eV/atom

Unit cell a=4.7337 b=3.1108 c=10.5690 alpha=90.00 beta=77.06 gamma=90.00
Fractional coordinates of all 7 atoms:
Sc1 0.8515 0.0000 0.2969
Sc2 0.0000 0.0000 0.0000
Sc3 0.1485 0.0000 0.7031
Ag1 0.5722 0.5000 0.8557
Ag2 0.4278 0.5000 0.1443
Hf1 0.2836 0.5000 0.4329
Hf2 0.7164 0.5000 0.5671